Entry from Alexandria: crystalline Te2H2Au3 at its relaxed geometry (PBE-GGA).

abc: 3.1472 6.4402 9.3298
angles: 46.35 89.94 89.94
Last column: nearest neighbours and their distance in Å.
Element x y z (fractional)
Au 0.0000 0.0000 0.0000  4 H 2.56-2.57, 2 Te 2.72, 2 Au 2.80
Au 0.0007 0.5804 0.8002  2 H 1.76
Au 0.9993 0.4196 0.1998  2 H 1.76
Te 0.0005 0.1242 0.6559  2 Au 2.72-2.75
Te 0.9995 0.8758 0.3441  2 Au 2.72-2.75
H 0.4990 0.5737 0.1606  2 Au 1.76
H 0.5010 0.4263 0.8394  2 Au 1.76

---

Entry from Alexandria: crystalline BaCa2Pt2 at its relaxed geometry (PBE-GGA).

Summary:
formation energy from the elements: -370.3 kJ/mol of formula units
E above lowest polymorph: 0.0 meV/atom

abc: 4.5103 7.3192 9.1333
angles: 90.00 90.00 107.95
Last column: nearest neighbours and their distance in Å.
Element x y z (fractional)
Ca 0.6859 0.3718 0.4675  5 Pt 2.89-2.98
Ca 0.3141 0.6282 0.9675  5 Pt 2.89-2.98
Ca 0.8866 0.7732 0.7022  4 Pt 2.93-3.02
Ca 0.1134 0.2268 0.2022  4 Pt 2.93-3.02
Pt 0.7545 0.5091 0.1595  1 Pt 2.85, 5 Ca 2.97-3.02
Pt 0.9385 0.8770 0.0232  1 Pt 2.85, 4 Ca 2.89-3.02
Pt 0.2455 0.4909 0.6595  1 Pt 2.85, 5 Ca 2.97-3.02
Pt 0.0615 0.1230 0.5232  1 Pt 2.85, 4 Ca 2.89-3.02
Ba 0.5937 0.1873 0.8520  7 Pt 3.49-3.78, 3 Ca 3.74-3.91
Ba 0.4063 0.8127 0.3520  7 Pt 3.49-3.78, 3 Ca 3.74-3.91

---

Entry from Alexandria: crystalline FeCu2As at its relaxed geometry (PBE-GGA).

Summary:
formation energy from the elements: 63.2 kJ/mol of formula units

abc: 4.7977 4.7977 4.7977
angles: 136.27 136.27 63.57
Last column: nearest neighbours and their distance in Å.
Element x y z (fractional)
As 0.7500 0.2500 0.5000  4 Fe 2.53, 8 Cu 2.71
Cu 0.0000 0.0000 0.0000  4 Cu 2.53, 4 As 2.71, 4 Fe 2.71
Cu 0.5000 0.5000 0.0000  4 Cu 2.53, 4 Fe 2.71, 4 As 2.71
Fe 0.2500 0.7500 0.5000  4 As 2.53, 8 Cu 2.71

---

Entry from Alexandria: crystalline Zr2WC at its relaxed geometry (PBE-GGA).

Summary:
formation energy from the elements: -62.9 kJ/mol of formula units

abc: 8.0521 8.0521 8.0521
angles: 22.52 22.52 22.52
Last column: nearest neighbours and their distance in Å.
Element x y z (fractional)
W 0.7797 0.7797 0.7797  3 C 2.14
Zr 0.2208 0.2208 0.2208  3 C 2.30
Zr 0.0050 0.0050 0.0050  3 W 3.12, 9 Zr 3.14-3.31
C 0.4945 0.4945 0.4945  3 W 2.14, 3 Zr 2.30

---

Entry from Alexandria: crystalline Be2IrPb at its relaxed geometry (PBE-GGA).

Summary:
formation energy from the elements: 2.0 kJ/mol of formula units

abc: 2.9869 2.9872 6.9957
angles: 90.00 90.00 90.00
Last column: nearest neighbours and their distance in Å.
Element x y z (fractional)
Be 0.0000 0.0000 0.0924  1 Be 2.20, 4 Ir 2.38
Be 0.0000 0.0000 0.4076  1 Be 2.20, 4 Ir 2.38
Pb 0.5000 0.5000 0.7500  4 Pb 2.99, 8 Be 3.19
Ir 0.5000 0.5000 0.2500  8 Be 2.38

---

Entry from Alexandria: crystalline ZnAs2Ru at its relaxed geometry (PBE-GGA).

Summary:
formation energy from the elements: 73.1 kJ/mol of formula units

abc: 6.3806 4.5310 3.2225
angles: 90.51 58.82 121.33
Last column: nearest neighbours and their distance in Å.
Element x y z (fractional)
As 0.0000 0.0000 0.0000  2 As 2.73, 4 Ru 2.77-2.79, 4 Zn 2.77-2.79
As 0.5000 0.0000 0.5000  2 As 2.73, 4 Zn 2.77-2.79, 4 Ru 2.77-2.79
Ru 0.0000 0.5000 0.5000  2 Zn 2.73, 8 As 2.77-2.79
Zn 0.5000 0.5000 0.0000  2 Ru 2.73, 8 As 2.77-2.79

---

Entry from Alexandria: crystalline VZnPbSe2 at its relaxed geometry (PBE-GGA).

Summary:
formation energy without anion corrections: 0.1 eV per formula unit

abc: 5.0672 5.0672 5.0869
angles: 90.00 90.00 90.00
Last column: nearest neighbours and their distance in Å.
Element x y z (fractional)
V 0.0000 0.0000 0.0000  4 Se 2.53, 2 Zn 2.54
Se 0.0000 0.5000 0.0000  2 V 2.53
Se 0.5000 0.0000 0.0000  2 V 2.53
Pb 0.5000 0.5000 0.5000  4 Zn 3.58, 8 Se 3.59
Zn 0.0000 0.0000 0.5000  2 V 2.54

---

Entry from Alexandria: crystalline NpU5N6 at its relaxed geometry (PBE-GGA).

Summary:
formation energy without anion corrections: -15.5 eV per formula unit

abc: 5.9596 5.9596 5.9555
angles: 99.59 99.59 120.00
Last column: nearest neighbours and their distance in Å.
Element x y z (fractional)
Np 0.0000 0.0000 0.0000  6 N 2.45-2.46
N 0.0842 0.4212 0.2523  5 U 2.42-2.43, 1 Np 2.46
N 0.4212 0.0842 0.2523  5 U 2.42-2.43, 1 Np 2.46
N 0.2537 0.2537 0.7492  5 U 2.41-2.43, 1 Np 2.45
N 0.9158 0.5788 0.7477  5 U 2.42-2.43, 1 Np 2.46
N 0.7463 0.7463 0.2508  5 U 2.41-2.43, 1 Np 2.45
N 0.5788 0.9158 0.7477  5 U 2.42-2.43, 1 Np 2.46
U 0.3331 0.6669 0.0000  6 N 2.43
U 0.8347 0.1653 0.5000  6 N 2.42-2.43
U 0.6669 0.3331 0.0000  6 N 2.43
U 0.5000 0.5000 0.5000  6 N 2.41-2.43
U 0.1653 0.8347 0.5000  6 N 2.42-2.43

---

Entry from Alexandria: crystalline Na2LiGeSe4 at its relaxed geometry (PBE-GGA).

Summary:
formation energy without anion corrections: -5.7 eV per formula unit

abc: 6.8750 6.2535 6.2535
angles: 72.41 56.65 56.65
Last column: nearest neighbours and their distance in Å.
Element x y z (fractional)
Li 0.0000 0.0000 0.0000  4 Se 2.73
Na 0.5000 0.5000 0.5000  8 Se 3.08-3.35, 2 Na 3.44
Na 0.0000 0.5000 0.5000  8 Se 3.08-3.35, 2 Na 3.44
Se 0.4678 0.6380 0.0000  1 Ge 2.39
Se 0.8942 0.0000 0.6380  1 Ge 2.39
Se 0.1058 0.3620 0.0000  1 Ge 2.39
Se 0.5322 0.0000 0.3620  1 Ge 2.39
Ge 0.5000 0.0000 0.0000  4 Se 2.39

---

Entry from Alexandria: crystalline Pr2SmPb at its relaxed geometry (PBE-GGA).

Summary:
formation energy from the elements: -129.7 kJ/mol of formula units
E above lowest polymorph: 0.0 meV/atom

abc: 5.0416 4.9856 4.9856
angles: 90.00 90.00 90.00
Last column: nearest neighbours and their distance in Å.
Element x y z (fractional)
Pb 0.5000 0.0000 0.0000  4 Sm 3.53, 8 Pr 3.55
Pr 0.0000 0.5000 0.0000  4 Pr 3.53, 4 Pb 3.55, 4 Sm 3.55
Pr 0.0000 0.0000 0.5000  4 Pr 3.53, 4 Pb 3.55, 4 Sm 3.55
Sm 0.5000 0.5000 0.5000  4 Pb 3.53, 8 Pr 3.55

---

Entry from Alexandria: crystalline Tb2BeSiPt6 at its relaxed geometry (PBE-GGA).

Summary:
formation energy without anion corrections: -9.3 eV per formula unit

abc: 5.7060 7.1777 5.7032
angles: 66.62 59.99 90.00
Last column: nearest neighbours and their distance in Å.
Element x y z (fractional)
Pt 0.2283 0.7142 0.0289  1 Be 2.18, 1 Si 2.42
Pt 0.7717 0.2858 0.9711  1 Be 2.18, 1 Si 2.42
Pt 0.7429 0.7144 0.5142  1 Be 2.18, 1 Si 2.42
Pt 0.2571 0.2856 0.4858  1 Be 2.18, 1 Si 2.42
Pt 0.7427 0.7142 0.0289  1 Be 2.18, 1 Si 2.42
Pt 0.2573 0.2858 0.9711  1 Be 2.18, 1 Si 2.42
Tb 0.7113 0.1335 0.5774  9 Pt 3.01-3.17
Tb 0.2887 0.8665 0.4226  9 Pt 3.01-3.17
Be 0.5000 0.5000 0.0000  6 Pt 2.18
Si 0.0000 0.0000 0.0000  6 Pt 2.42

---

Entry from Alexandria: crystalline Mg2Tl3 at its relaxed geometry (PBE-GGA).

Summary:
formation energy from the elements: 26.8 kJ/mol of formula units
E above lowest polymorph: 79.8 meV/atom

abc: 7.2319 7.2319 11.7813
angles: 102.53 102.53 107.06
Last column: nearest neighbours and their distance in Å.
Element x y z (fractional)
Mg 0.1776 0.6776 0.3552  6 Tl 3.11-3.23, 2 Mg 3.18-3.27
Mg 0.7784 0.7784 0.5568  6 Tl 3.00-3.15, 1 Mg 3.27
Mg 0.2216 0.2216 0.4432  6 Tl 3.00-3.15, 1 Mg 3.27
Mg 0.9276 0.9276 0.8552  6 Tl 3.11-3.23, 2 Mg 3.18-3.27
Mg 0.4716 0.9716 0.9432  6 Tl 3.00-3.15, 1 Mg 3.27
Mg 0.0724 0.0724 0.1448  6 Tl 3.11-3.23, 2 Mg 3.18-3.27
Mg 0.3224 0.8224 0.6448  6 Tl 3.11-3.23, 2 Mg 3.18-3.27
Mg 0.0284 0.5284 0.0568  6 Tl 3.00-3.15, 1 Mg 3.27
Tl 0.8386 0.8600 0.3133  4 Mg 3.00-3.23, 2 Tl 3.22-3.32
Tl 0.7753 0.2967 0.1867  4 Mg 3.00-3.23, 2 Tl 3.22-3.32
Tl 0.5677 0.0677 0.5000  4 Mg 3.03-3.16, 1 Tl 3.13
Tl 0.6823 0.6823 0.0000  4 Mg 3.03-3.16, 1 Tl 3.13
Tl 0.1400 0.1614 0.6867  4 Mg 3.00-3.23, 2 Tl 3.22-3.32
Tl 0.1100 0.5886 0.8133  4 Mg 3.00-3.23, 2 Tl 3.22-3.32
Tl 0.3177 0.3177 0.0000  4 Mg 3.03-3.16, 1 Tl 3.13
Tl 0.4747 0.4533 0.3133  4 Mg 3.00-3.23, 2 Tl 3.22-3.32
Tl 0.5467 0.5253 0.6867  4 Mg 3.00-3.23, 2 Tl 3.22-3.32
Tl 0.7033 0.2247 0.8133  4 Mg 3.00-3.23, 2 Tl 3.22-3.32
Tl 0.9323 0.4323 0.5000  4 Mg 3.03-3.16, 1 Tl 3.13
Tl 0.4114 0.8900 0.1867  4 Mg 3.00-3.23, 2 Tl 3.22-3.32

---

Entry from Alexandria: crystalline NdPb6S8 at its relaxed geometry (PBE-GGA).

Summary:
formation energy without anion corrections: -8.5 eV per formula unit

abc: 7.7221 7.7221 7.7221
angles: 102.45 102.45 102.45
Last column: nearest neighbours and their distance in Å.
Element x y z (fractional)
Nd 0.0000 0.0000 0.0000  8 S 3.02-3.10
Pb 0.5725 0.1072 0.3266  5 S 2.78-3.10
Pb 0.1072 0.3266 0.5725  5 S 2.78-3.10
Pb 0.8928 0.6734 0.4275  5 S 2.78-3.10
Pb 0.4275 0.8928 0.6734  5 S 2.78-3.10
Pb 0.6734 0.4275 0.8928  5 S 2.78-3.10
Pb 0.3266 0.5725 0.1072  5 S 2.78-3.10
S 0.1580 0.7023 0.8028  4 Pb 2.78-3.10, 1 Nd 3.10
S 0.8420 0.2977 0.1972  4 Pb 2.78-3.10, 1 Nd 3.10
S 0.8028 0.1580 0.7023  4 Pb 2.78-3.10, 1 Nd 3.10
S 0.7004 0.7004 0.7004  3 Pb 2.83, 1 Nd 3.02
S 0.2996 0.2996 0.2996  3 Pb 2.83, 1 Nd 3.02
S 0.7023 0.8028 0.1580  4 Pb 2.78-3.10, 1 Nd 3.10
S 0.1972 0.8420 0.2977  4 Pb 2.78-3.10, 1 Nd 3.10
S 0.2977 0.1972 0.8420  4 Pb 2.78-3.10, 1 Nd 3.10

---

Entry from Alexandria: crystalline Nd8Er6Tm at its relaxed geometry (PBE-GGA).

Summary:
formation energy from the elements: 250.1 kJ/mol of formula units

abc: 6.5583 9.4010 9.4010
angles: 120.00 90.00 90.00
Last column: nearest neighbours and their distance in Å.
Element x y z (fractional)
Nd 0.8324 0.0379 0.2872  3 Nd 3.26-3.36, 4 Er 3.31-3.58, 1 Tm 3.35
Nd 0.1676 0.9621 0.7128  3 Nd 3.26-3.36, 4 Er 3.31-3.58, 1 Tm 3.35
Nd 0.1676 0.2872 0.2493  3 Nd 3.26-3.36, 4 Er 3.31-3.58, 1 Tm 3.35
Nd 0.8795 0.3333 0.6667  3 Nd 3.26
Nd 0.8324 0.2493 0.9621  3 Nd 3.26-3.36, 4 Er 3.31-3.58, 1 Tm 3.35
Nd 0.8324 0.7128 0.7507  3 Nd 3.26-3.36, 4 Er 3.31-3.58, 1 Tm 3.35
Nd 0.1205 0.6667 0.3333  3 Nd 3.26
Nd 0.1676 0.7507 0.0379  3 Nd 3.26-3.36, 4 Er 3.31-3.58, 1 Tm 3.35
Er 0.6564 0.9052 0.5626  1 Er 3.30, 4 Nd 3.31-3.58
Er 0.3436 0.5626 0.6574  1 Er 3.30, 4 Nd 3.31-3.58
Er 0.6564 0.6574 0.0948  1 Er 3.30, 4 Nd 3.31-3.58
Er 0.3436 0.3426 0.9052  1 Er 3.30, 4 Nd 3.31-3.58
Er 0.3436 0.0948 0.4374  1 Er 3.30, 4 Nd 3.31-3.58
Er 0.6564 0.4374 0.3426  1 Er 3.30, 4 Nd 3.31-3.58
Tm 0.5000 0.0000 0.0000  6 Nd 3.35

---

Entry from Alexandria: crystalline BaZr2Mo at its relaxed geometry (PBE-GGA).

Summary:
formation energy from the elements: 97.6 kJ/mol of formula units
E above lowest polymorph: 0.0 meV/atom

abc: 3.4100 3.4100 9.4681
angles: 90.00 90.00 92.19
Last column: nearest neighbours and their distance in Å.
Element x y z (fractional)
Zr 0.0000 0.0000 0.5880  4 Mo 2.82-2.90, 1 Zr 3.07
Zr 0.0000 0.0000 0.9120  4 Mo 2.82-2.90, 1 Zr 3.07
Ba 0.5000 0.5000 0.2500  4 Ba 3.41
Mo 0.5000 0.5000 0.7500  8 Zr 2.82-2.90

---

Entry from Alexandria: crystalline AlP2AuCl at its relaxed geometry (PBE-GGA).

Summary:
formation energy without anion corrections: 2.4 eV per formula unit
E above lowest polymorph: 0.0 meV/atom

abc: 4.7521 4.7521 4.5047
angles: 90.00 90.00 90.00
Last column: nearest neighbours and their distance in Å.
Element x y z (fractional)
Al 0.0000 0.0000 0.0000  2 Cl 2.25, 4 P 2.38
Au 0.5000 0.5000 0.5000  8 P 3.27, 4 Cl 3.36
P 0.0000 0.5000 0.0000  2 Al 2.38
P 0.5000 0.0000 0.0000  2 Al 2.38
Cl 0.0000 0.0000 0.5000  2 Al 2.25

---

Entry from Alexandria: crystalline BeInRe4 at its relaxed geometry (PBE-GGA).

Summary:
formation energy from the elements: 395.1 kJ/mol of formula units

abc: 5.2167 5.2167 5.2167
angles: 60.00 60.00 60.00
Last column: nearest neighbours and their distance in Å.
Element x y z (fractional)
Be 0.7500 0.7500 0.7500  12 Re 3.06, 4 In 3.19
Re 0.3755 0.3755 0.3755  6 Re 2.60-2.62
Re 0.3755 0.3755 0.8736  6 Re 2.60-2.62
Re 0.3755 0.8736 0.3755  6 Re 2.60-2.62
Re 0.8736 0.3755 0.3755  6 Re 2.60-2.62
In 0.0000 0.0000 0.0000  12 Re 3.06, 4 Be 3.19

---

Entry from Alexandria: crystalline SbPtSN2 at its relaxed geometry (PBE-GGA).

Summary:
formation energy without anion corrections: 7.8 eV per formula unit
E above lowest polymorph: 378.7 meV/atom

abc: 3.9386 3.9386 5.3558
angles: 90.00 90.00 90.00
Last column: nearest neighbours and their distance in Å.
Element x y z (fractional)
N 0.5000 0.0000 0.0000  2 Sb 1.97
N 0.0000 0.5000 0.0000  2 Sb 1.97
Pt 0.5000 0.5000 0.5000  4 S 2.79
Sb 0.0000 0.0000 0.0000  4 N 1.97
S 0.0000 0.0000 0.5000  2 Sb 2.68, 4 Pt 2.79

---

Entry from Alexandria: crystalline Ba2NpCd2As4 at its relaxed geometry (PBE-GGA).

Summary:
formation energy from the elements: -626.7 kJ/mol of formula units

abc: 4.3622 7.8299 8.2081
angles: 108.72 105.41 90.00
Last column: nearest neighbours and their distance in Å.
Element x y z (fractional)
Ba 0.8686 0.4267 0.7372  7 As 3.38-3.55, 1 Cd 3.76
Ba 0.1314 0.5733 0.2628  7 As 3.38-3.55, 1 Cd 3.76
As 0.5060 0.7555 0.0120  1 Cd 2.68, 2 Np 2.92
As 0.2002 0.2085 0.4003  3 Cd 2.71-2.91
As 0.7998 0.7915 0.5997  3 Cd 2.71-2.91
As 0.4940 0.2445 0.9880  1 Cd 2.68, 2 Np 2.92
Np 0.0000 0.0000 0.0000  6 As 2.92-3.04
Cd 0.6739 0.9911 0.3478  4 As 2.68-2.91
Cd 0.3261 0.0089 0.6522  4 As 2.68-2.91

---

Entry from Alexandria: crystalline Cd4AgAu at its relaxed geometry (PBE-GGA).

Summary:
formation energy from the elements: -40.8 kJ/mol of formula units
E above lowest polymorph: 0.0 meV/atom

abc: 3.8564 5.3959 7.1363
angles: 106.36 74.32 69.06
Last column: nearest neighbours and their distance in Å.
Element x y z (fractional)
Ag 0.0000 0.0000 0.0000  10 Cd 2.97-3.22, 2 Au 3.30
Cd 0.1686 0.4932 0.1696  2 Au 2.97, 3 Ag 2.97-3.22, 7 Cd 3.05-3.31
Cd 0.3292 0.0105 0.3311  3 Au 2.96-3.24, 2 Ag 2.97, 7 Cd 3.05-3.31
Cd 0.8314 0.5068 0.8304  2 Au 2.97, 3 Ag 2.97-3.22, 7 Cd 3.05-3.31
Cd 0.6708 0.9895 0.6689  3 Au 2.96-3.24, 2 Ag 2.97, 7 Cd 3.05-3.31
Au 0.5000 0.5000 0.5000  10 Cd 2.96-3.24, 2 Ag 3.30

---

Number 1: E_tot -22.01 eV per formula unit, V 136.8 Å³/cell. Number 2: E_tot -21.85 eV per formula unit, V 286.8 Å³/cell. Number 3: E_tot -20.65 eV per formula unit, V 52.1 Å³/cell. Number 4: E_tot -39.93 eV per formula unit, V 67.2 Å³/cell. Number 5: E_tot -20.00 eV per formula unit, V 62.4 Å³/cell. Number 6: E_tot -19.09 eV per formula unit, V 63.6 Å³/cell. Number 7: E_tot -20.94 eV per formula unit, V 130.6 Å³/cell. Number 8: E_tot -134.79 eV per formula unit, V 172.7 Å³/cell. Number 9: E_tot -28.82 eV per formula unit, V 187.6 Å³/cell. Number 10: E_tot -19.33 eV per formula unit, V 125.3 Å³/cell. Number 11: E_tot -63.94 eV per formula unit, V 179.8 Å³/cell. Number 12: E_tot -10.01 eV per formula unit, V 548.4 Å³/cell. Number 13: E_tot -68.56 eV per formula unit, V 422.1 Å³/cell. Number 14: E_tot -67.40 eV per formula unit, V 502.0 Å³/cell. Number 15: E_tot -28.84 eV per formula unit, V 110.0 Å³/cell. Number 16: E_tot -17.25 eV per formula unit, V 101.7 Å³/cell. Number 17: E_tot -52.16 eV per formula unit, V 100.4 Å³/cell. Number 18: E_tot -23.15 eV per formula unit, V 83.1 Å³/cell. Number 19: E_tot -43.71 eV per formula unit, V 254.9 Å³/cell. Number 20: E_tot -10.21 eV per formula unit, V 121.1 Å³/cell.